BaNbInCo2, relaxed, DFT PBE; ΔE_f = 1777 meV per atom; crystal system = tetragonal
1.0
4.710 0.000 0.000
0.000 4.710 0.000
0.000 0.000 5.664
Nb Co Ba In
1 2 1 1
direct
0.500 0.500 0.500
0.000 0.500 0.000
0.500 0.000 0.000
0.000 0.000 0.500
0.000 0.000 0.000